# LaMg2Ru

LaMg2Ru after structural relaxation (GGA-PBE, the Alexandria database).

Values from the calculation:
DFT total energy   -16.6 eV per formula unit
DOS(E_F)   5.94 states/eV per cell
Theoretical density   5.2 g cm⁻³
Total magnetization   0.00 μB/atom
Calculated volume   184.95 Å³ per cell
Symmetry   No. 122
Energy of formation   190.0 meV/atom

Cell lengths 4.1003, 4.1003, 11.3764 Å; angles 79.62, 79.62, 90.00 degrees
Closest atoms and distances in Å follow each position.
Fractional positions:
La1 0.0000 0.0000 0.0000  4 Ru 2.90, 4 Mg 3.16
Ru1 0.5000 0.5000 0.0000  4 La 2.90, 4 Mg 3.07
Ru2 0.2500 0.7500 0.5000  4 La 2.90, 4 Mg 3.07
Mg1 0.8750 0.8425 0.7500  2 Mg 2.72
Mg2 0.5925 0.1250 0.2500  2 Mg 2.72
La2 0.7500 0.2500 0.5000  4 Ru 2.90, 4 Mg 3.16
Mg3 0.1575 0.6250 0.2500  2 Mg 2.72
Mg4 0.3750 0.4075 0.7500  2 Mg 2.72